SrNi2Te3Cl2O8: relaxed, GGA+U.

Cell: 6.731 8.946 20.016 Å, 90.00 109.37 90.00°
Positions (direct):
Sr  0.018  0.070  0.277
Sr  0.018  0.430  0.777
Sr  0.982  0.570  0.223
Sr  0.982  0.930  0.723
Ni  0.316  0.546  0.679
Ni  0.316  0.954  0.179
Ni  0.415  0.745  0.317
Ni  0.415  0.755  0.817
Ni  0.585  0.245  0.183
Ni  0.585  0.255  0.683
Ni  0.684  0.046  0.821
Ni  0.684  0.454  0.321
Te  0.033  0.240  0.619
Te  0.033  0.260  0.119
Te  0.305  0.079  0.894
Te  0.305  0.421  0.394
Te  0.399  0.595  0.138
Te  0.399  0.905  0.638
Te  0.601  0.095  0.362
Te  0.601  0.405  0.862
Te  0.695  0.579  0.606
Te  0.695  0.921  0.106
Te  0.967  0.740  0.881
Te  0.967  0.760  0.381
Cl  0.238  0.607  0.554
Cl  0.238  0.893  0.054
Cl  0.470  0.205  0.558
Cl  0.470  0.295  0.058
Cl  0.530  0.705  0.942
Cl  0.530  0.795  0.442
Cl  0.762  0.107  0.946
Cl  0.762  0.393  0.446
O  0.016  0.029  0.845
O  0.016  0.471  0.345
O  0.095  0.714  0.810
O  0.095  0.786  0.310
O  0.124  0.031  0.630
O  0.124  0.469  0.130
O  0.289  0.184  0.181
O  0.289  0.316  0.681
O  0.308  0.224  0.357
O  0.308  0.276  0.857
O  0.319  0.725  0.201
O  0.319  0.775  0.701
O  0.381  0.513  0.319
O  0.381  0.987  0.819
O  0.411  0.530  0.792
O  0.411  0.970  0.292
O  0.589  0.030  0.708
O  0.589  0.470  0.208
O  0.619  0.013  0.181
O  0.619  0.487  0.681
O  0.681  0.225  0.299
O  0.681  0.275  0.799
O  0.692  0.724  0.143
O  0.692  0.776  0.643
O  0.711  0.684  0.319
O  0.711  0.816  0.819
O  0.876  0.531  0.870
O  0.876  0.969  0.370
O  0.905  0.214  0.690
O  0.905  0.286  0.190
O  0.984  0.529  0.655
O  0.984  0.971  0.155

The calculation puts the total energy at -5.08 eV/atom. As for the space-group type: P2_1/c. The crystal system is monoclinic.